Density functional theory data (PBE) for a relaxed CdP2BrO crystal. Values from VASP.

## Properties
**Uncorrected formation energy**: 97 kJ per mole of atoms
**Energy above the lowest structure with this stoichiometry**: 62.9 meV per atom
**VASP energy**: -13.3 eV/cell

Geometry as Quantum ESPRESSO input:
```
&SYSTEM
  ibrav = 0, nat = 5, ntyp = 4
/
ATOMIC_SPECIES
P 30.97 P.upf
O 16.00 O.upf
Br 79.90 Br.upf
Cd 112.41 Cd.upf
ATOMIC_POSITIONS angstrom
P 0.307 -1.457 2.089
P -0.846 -2.043 -1.300
O -1.729 0.384 0.522
Br 0.000 0.000 0.000
Cd -2.268 -3.116 1.311
CELL_PARAMETERS angstrom
-1.692 -4.087 -2.601
0.613 -2.914 4.179
-3.458 0.768 1.043
```

***

Density functional theory data (PBE) for a relaxed Ni2PbCl crystal. Values from VASP.

## Properties
**Uncorrected formation energy**: 38 kJ per mole of atoms
**Energy above the lowest structure with this stoichiometry**: 340.7 meV per atom
**VASP energy**: -15.6 eV/cell

Geometry as Quantum ESPRESSO input:
```
&SYSTEM
  ibrav = 0, nat = 4, ntyp = 3
/
ATOMIC_SPECIES
Cl 35.45 Cl.upf
Ni 58.69 Ni.upf
Pb 207.20 Pb.upf
ATOMIC_POSITIONS angstrom
Cl 3.064 0.008 1.276
Ni 0.000 0.000 0.000
Ni 1.996 2.325 1.276
Pb 5.060 2.333 0.000
CELL_PARAMETERS angstrom
6.129 0.015 0.000
3.992 4.651 0.000
-5.060 -2.333 2.552
```

***

Density functional theory data (PBE) for a relaxed Cs4Ho3TmSe8 crystal. Values from VASP.

## Properties
**Uncorrected formation energy**: -166 kJ per mole of atoms
**VASP energy**: -77.0 eV/cell

Geometry as Quantum ESPRESSO input:
```
&SYSTEM
  ibrav = 0, nat = 16, ntyp = 4
/
ATOMIC_SPECIES
Cs 132.91 Cs.upf
Ho 164.93 Ho.upf
Tm 168.93 Tm.upf
Se 78.96 Se.upf
ATOMIC_POSITIONS angstrom
Cs -2.754 2.920 1.371
Cs 0.882 2.287 3.462
Cs 0.000 0.000 0.000
Cs 3.636 -0.633 2.091
Ho -6.133 -0.516 1.901
Ho -2.497 -1.149 3.992
Ho 0.257 -4.069 2.621
Tm -3.379 -3.436 0.530
Se 1.084 -4.587 5.351
Se -2.571 -3.950 3.249
Se 0.325 -1.266 3.351
Se -1.684 -1.651 6.729
Se -3.310 -0.647 1.254
Se -5.320 -1.031 4.633
Se -2.423 1.652 4.735
Se -6.079 2.289 2.632
CELL_PARAMETERS angstrom
-5.508 5.840 2.742
-6.759 -6.872 1.059
7.272 -1.266 4.183
```

***

Density functional theory data (PBE) for a relaxed GaTc2Os crystal. Values from VASP.

## Properties
**VASP energy**: -64.5 eV/cell
**Formation energy from the elements**: 66.12 kJ/mol of atoms

Geometry as Quantum ESPRESSO input:
```
&SYSTEM
  ibrav = 0, nat = 8, ntyp = 3
/
ATOMIC_SPECIES
Os 190.23 Os.upf
Tc 98.00 Tc.upf
Ga 69.72 Ga.upf
ATOMIC_POSITIONS angstrom
Os 0.000 0.000 0.000
Os 7.069 3.535 1.303
Tc 5.449 1.767 0.652
Tc 1.620 5.302 0.652
Tc 5.302 5.155 1.955
Tc 8.836 8.983 1.955
Ga 3.535 3.535 0.000
Ga 3.535 7.069 1.303
CELL_PARAMETERS angstrom
7.069 0.000 0.000
0.000 7.069 0.000
3.535 3.535 2.606
```

***

no.,total magnetic moment (μB/f.u.),N(E_F) (states/eV/f.u.)
1,0.000,3.8
2,0.685,3.4
3,0.000,0.0
4,0.000,6.0